Ag5Te2S2: optimized geometry, PBE.

Values from the calculation:
Its density of states at the Fermi level is 0.75 states/eV/atom. The calculated volume comes out at 24.0 Å³ per atom. Its magnetic moment is 0.00 μB/atom. The space-group type is No. 46. The calculation puts the electronic total energy at -56.21 eV/cell.

```
Ag5Te2S2
1.0
7.048 0.000 0.000
0.000 5.925 0.000
-3.524 -2.962 10.352
Te Ag S
4 10 4
direct
0.380 0.859 0.732 Te
0.620 0.127 0.268 Te
0.148 0.627 0.268 Te
0.852 0.359 0.732 Te
0.925 0.145 0.500 Ag
0.075 0.645 0.500 Ag
0.550 0.614 0.255 Ag
0.203 0.681 0.886 Ag
0.817 0.296 0.114 Ag
0.796 0.859 0.745 Ag
0.450 0.359 0.745 Ag
0.183 0.181 0.886 Ag
0.797 0.796 0.114 Ag
0.204 0.114 0.255 Ag
0.748 0.787 0.500 S
0.500 0.469 0.000 S
0.252 0.287 0.500 S
0.000 0.969 0.000 S
```



Mn2AgOs: optimized geometry, PBE.

Values from the calculation:
Its density of states at the Fermi level is 0.48 states/eV/atom. The calculated volume comes out at 14.4 Å³ per atom. Its magnetic moment is 1.23 μB/atom. The space-group type is No. 216. Its formation energy from the elements is 0.602 eV/atom.

```
Mn2AgOs
1.0
4.334 0.000 0.000
2.167 3.753 0.000
2.167 1.251 3.539
Mn Ag Os
2 1 1
direct
0.250 0.250 0.250 Mn
0.000 0.000 0.000 Mn
0.500 0.500 0.500 Ag
0.750 0.750 0.750 Os
```



YCu2Au: optimized geometry, PBE.

Values from the calculation:
Its density of states at the Fermi level is 0.28 states/eV/atom. The calculated volume comes out at 17.9 Å³ per atom. Its magnetic moment is 0.00 μB/atom. The space-group type is No. 99. Its formation energy from the elements is -0.281 eV/atom.

```
YCu2Au
1.0
-0.538 -1.610 2.917
3.305 -0.634 0.260
0.791 5.404 3.128
Cu Au Y
2 1 1
direct
0.000 0.000 0.021 Cu
0.500 0.500 0.201 Cu
0.500 0.500 0.786 Au
0.000 0.000 0.492 Y
```



Tb4SnTe2As: optimized geometry, PBE.

Values from the calculation:
Its density of states at the Fermi level is 0.19 states/eV/atom. The calculated volume comes out at 28.9 Å³ per atom. Its magnetic moment is 0.00 μB/atom. The space-group type is No. 10. The calculation puts the electronic total energy at -43.71 eV/cell.

```
Tb4SnTe2As
1.0
4.318 0.000 0.000
0.000 7.496 0.137
0.000 -2.613 7.085
Tb Sn Te As
4 1 2 1
direct
0.500 0.765 0.775 Tb
0.000 0.751 0.232 Tb
0.500 0.235 0.225 Tb
0.000 0.249 0.768 Tb
0.500 0.500 0.000 Sn
0.000 0.500 0.500 Te
0.500 0.000 0.500 Te
0.000 0.000 0.000 As
```